The following is a PBE-GGA calculation of a geometry-optimized Ce2SnP structure, from Alexandria.

The structure in CIF format:
```
data_Ce2SnP
_cell_length_a 3.9372
_cell_length_b 3.9372
_cell_length_c 24.8547
_cell_angle_alpha 90.00
_cell_angle_beta 90.00
_cell_angle_gamma 120.00
_symmetry_space_group_name_H-M 'R 3 m'
_symmetry_Int_Tables_number 160
_symmetry_space_group_name_Hall 'R 3 -2"'
loop_
_atom_site_label
_atom_site_type_symbol
_atom_site_fract_x
_atom_site_fract_y
_atom_site_fract_z
Ce1 Ce 0.0000 0.0000 0.0000
Ce2 Ce 0.0000 0.0000 0.1983
Sn1 Sn 0.0000 0.0000 0.7664
P1 P 0.0000 0.0000 0.5988
```

Results
ΔE to the lowest computed polymorph = 0.055 eV per atom